(1)
# KZnSiAg2 PBE optimized geometry
data_KZnSiAg2
_cell_length_a 4.9774
_cell_length_b 4.9774
_cell_length_c 4.9159
_cell_angle_alpha 90.00
_cell_angle_beta 90.00
_cell_angle_gamma 90.00
_space_group_name_H-M_alt 'P 4/m m m'
_space_group_IT_number 123
_space_group_name_Hall '-P 4 2'
loop_
_atom_site_label
_atom_site_type_symbol
_atom_site_fract_x
_atom_site_fract_y
_atom_site_fract_z
_atom_site_occupancy
K1 K 0.0000 0.0000 0.0000 1
Zn1 Zn 0.5000 0.5000 0.0000 1
Si1 Si 0.5000 0.5000 0.5000 1
Ag1 Ag 0.0000 0.5000 0.5000 1
# Formation energy without anion corrections in eV per atom: 0.118

---

(2)
# SrYPt2 PBE optimized geometry
data_SrYPt2
_cell_length_a 4.4855
_cell_length_b 3.9377
_cell_length_c 11.0819
_cell_angle_alpha 90.00
_cell_angle_beta 90.00
_cell_angle_gamma 90.00
_space_group_name_H-M_alt 'A m m 2'
_space_group_IT_number 38
loop_
_space_group_symop_operation_xyz
'x,y,z'
'-x,-y,z'
'-x,y,z'
'x,-y,z'
'x,y+1/2,z+1/2'
'-x,-y+1/2,z+1/2'
'-x,y+1/2,z+1/2'
'x,-y+1/2,z+1/2'
loop_
_atom_site_label
_atom_site_type_symbol
_atom_site_fract_x
_atom_site_fract_y
_atom_site_fract_z
_atom_site_occupancy
Sr1 Sr 0.0000 0.0000 0.0000 1
Y1 Y 0.5000 0.0000 0.2774 1
Pt1 Pt 0.0000 0.0000 0.7279 1
Pt2 Pt 0.5000 0.0000 0.5688 1
# Energy above the lowest structure with this stoichiometry in kJ/mol of atoms: 4.2
# Formation energy from the elements in eV per atom: -0.979

---

What are the E_tot values for these records? In order: -2.581 -6.036 eV/atom.
What are the spin magnetization values for these records? In order: 0.00 0.00 μB/cell.